(1)
12
Lattice="5.0337 0.0000 0.0000 0.0000 5.0337 0.0000 0.0000 0.0000 15.1046" Properties=species:S:1:pos:R:3 comment="PmNd2Ho9 | Alexandria via LeMat-Bulk | PBE-GGA | optimized geometry" n_ef_per_ev_atom=1.419 polymorph_energy_mev_per_atom=0 energy_ev_per_cell=-55.22 formation_energy_ev_per_atom=0.022 pbc="T T T"
Pm 0.0000 0.0000 0.0000
Nd 0.0000 0.0000 5.0332
Nd 0.0000 0.0000 10.0714
Ho 0.0000 2.5168 2.5106
Ho 0.0000 2.5168 7.5523
Ho 0.0000 2.5168 12.5940
Ho 2.5168 0.0000 2.5106
Ho 2.5168 0.0000 7.5523
Ho 2.5168 0.0000 12.5940
Ho 2.5168 2.5168 0.0000
Ho 2.5168 2.5168 5.0304
Ho 2.5168 2.5168 10.0742

---

(2)
19
Lattice="6.6320 3.8290 4.2168 -6.6320 3.8290 4.2168 0.0000 -7.6580 4.2168" Properties=species:S:1:pos:R:3 comment="PmNd6Ho12 | Alexandria via LeMat-Bulk | PBE-GGA | optimized geometry" n_ef_per_ev_atom=1.653 polymorph_energy_mev_per_atom=97 energy_ev_per_cell=-84.22 formation_energy_ev_per_atom=0.214 pbc="T T T"
Pm 0.0000 0.0000 0.0000
Nd 0.0000 -4.2597 3.5935
Nd -3.6890 2.1299 3.5935
Nd -3.6890 -2.1299 9.0571
Nd 3.6890 2.1299 3.5935
Nd 3.6890 -2.1299 9.0571
Nd 0.0000 4.2597 9.0571
Ho -1.8199 -1.0507 3.3428
Ho -1.7011 -2.9464 6.3253
Ho -3.4022 0.0000 6.3253
Ho 1.8199 -1.0507 3.3428
Ho 0.0000 2.1014 3.3428
Ho 1.7011 -2.9464 6.3253
Ho -1.7011 2.9464 6.3253
Ho 0.0000 -2.1014 9.3077
Ho -1.8199 1.0507 9.3077
Ho 3.4022 0.0000 6.3253
Ho 1.7011 2.9464 6.3253
Ho 1.8199 1.0507 9.3077